Crystalline KAlSn at its relaxed geometry. Source: Alexandria via LeMat-Bulk, functional GGA-PBE.

Results
The calculation puts the volume at 207 Å³/cell. The total magnetization is 0.000 μB per formula unit. Its energy is -2.8507 eV/atom. The calculation puts the formation energy at 9.3 kJ/mol of atoms. As for the space-group type: No. 51.

a = 7.5393 Å, b = 6.2287 Å, c = 4.4165 Å
α = 90.00°, β = 90.00°, γ = 90.00°
Last column: nearest neighbours and their distance in Å.
Element x y z (fractional)
K 0.2500 0.0000 0.1572  2 Sn 3.57, 4 Al 3.71
K 0.7500 0.0000 0.8428  2 Sn 3.57, 4 Al 3.71
Al 0.0000 0.5000 0.0000  2 Sn 2.73
Al 0.5000 0.5000 0.0000  2 Sn 2.73
Sn 0.2500 0.5000 0.5537  2 Al 2.73
Sn 0.7500 0.5000 0.4463  2 Al 2.73



Crystalline KAlSn at its relaxed geometry. Source: Alexandria via LeMat-Bulk, functional GGA-PBE.

Results
The calculation puts the volume at 102 Å³/cell. The total magnetization is 0.000 μB per formula unit. Its energy is -2.8504 eV/atom. The calculation puts the formation energy at 9.4 kJ/mol of atoms. As for the space-group type: No. 47.

a = 3.8986 Å, b = 4.2016 Å, c = 6.2549 Å
α = 90.00°, β = 90.00°, γ = 90.00°
Last column: nearest neighbours and their distance in Å.
Element x y z (fractional)
K 0.0000 0.0000 0.0000  4 Sn 3.69, 4 Al 3.77, 2 K 3.90
Al 0.0000 0.5000 0.5000  4 Sn 2.87
Sn 0.5000 0.0000 0.5000  4 Al 2.87



Crystalline KAlSn at its relaxed geometry. Source: Alexandria via LeMat-Bulk, functional GGA-PBE.

Results
The calculation puts the volume at 187 Å³/cell. The total magnetization is 0.000 μB per formula unit. Its energy is -2.9462 eV/atom. The calculation puts the formation energy at 0.1 kJ/mol of atoms. As for the space-group type: No. 63.

a = 7.2249 Å, b = 7.2249 Å, c = 6.4702 Å
α = 90.00°, β = 90.00°, γ = 146.39°
Last column: nearest neighbours and their distance in Å.
Element x y z (fractional)
K 0.1966 0.8034 0.7500  5 Sn 3.61-3.84, 4 Al 3.79
K 0.8034 0.1966 0.2500  5 Sn 3.61-3.84, 4 Al 3.79
Al 0.5000 0.5000 0.0000  4 Sn 2.87
Al 0.5000 0.5000 0.5000  4 Sn 2.87
Sn 0.0811 0.9189 0.2500  4 Al 2.87
Sn 0.9189 0.0811 0.7500  4 Al 2.87



Crystalline KAl2Sn2 at its relaxed geometry. Source: Alexandria via LeMat-Bulk, functional GGA-PBE.

Results
The calculation puts the volume at 138 Å³/cell. The total magnetization is 0.000 μB per formula unit. Its energy is -3.3896 eV/atom. Its energy above the most stable polymorph in this dataset is 0 meV/atom. The calculation puts the formation energy at -6.9 kJ/mol of atoms. As for the space-group type: No. 139.

a = 6.6519 Å, b = 6.6519 Å, c = 6.6519 Å
α = 136.52°, β = 136.52°, γ = 63.17°
Last column: nearest neighbours and their distance in Å.
Element x y z (fractional)
K 0.0000 0.0000 0.0000  8 Al 3.72, 8 Sn 3.75
Al 0.3837 0.3837 0.0000  1 Al 2.64, 4 Sn 2.89
Al 0.6163 0.6163 0.0000  1 Al 2.64, 4 Sn 2.89
Sn 0.2500 0.7500 0.5000  4 Al 2.89
Sn 0.7500 0.2500 0.5000  4 Al 2.89



Crystalline KAlSn at its relaxed geometry. Source: Alexandria via LeMat-Bulk, functional GGA-PBE.

Results
The calculation puts the volume at 169 Å³/cell. The total magnetization is 0.000 μB per formula unit. Its energy is -2.9664 eV/atom. The calculation puts the formation energy at -1.8 kJ/mol of atoms. As for the space-group type: No. 187.

a = 4.9923 Å, b = 4.9923 Å, c = 7.8324 Å
α = 90.00°, β = 90.00°, γ = 120.00°
Last column: nearest neighbours and their distance in Å.
Element x y z (fractional)
K 0.0000 0.0000 0.0000  6 Al 3.23
K 0.0000 0.0000 0.5000  6 Sn 3.33
Al 0.6667 0.3333 0.1850  1 Al 2.90, 3 Sn 2.99, 3 K 3.23
Al 0.6667 0.3333 0.8150  1 Al 2.90, 3 Sn 2.99, 3 K 3.23
Sn 0.3333 0.6667 0.2876  3 Al 2.99, 1 Sn 3.33, 3 K 3.33
Sn 0.3333 0.6667 0.7124  3 Al 2.99, 1 Sn 3.33, 3 K 3.33



Crystalline KAlSn at its relaxed geometry. Source: Alexandria via LeMat-Bulk, functional GGA-PBE.

Results
The calculation puts the volume at 193 Å³/cell. The total magnetization is 0.000 μB per formula unit. Its energy is -3.0884 eV/atom. The calculation puts the formation energy at -13.6 kJ/mol of atoms. As for the space-group type: No. 63.

a = 9.4777 Å, b = 9.4777 Å, c = 4.6520 Å
α = 90.00°, β = 90.00°, γ = 152.46°
Last column: nearest neighbours and their distance in Å.
Element x y z (fractional)
K 0.0885 0.9115 0.7500  4 Sn 3.48, 4 Al 3.72-3.79
K 0.9115 0.0885 0.2500  4 Sn 3.48, 4 Al 3.72-3.79
Al 0.2511 0.7489 0.2500  4 Sn 2.85-2.88
Al 0.7489 0.2511 0.7500  4 Sn 2.85-2.88
Sn 0.3430 0.6570 0.7500  4 Al 2.85-2.88
Sn 0.6570 0.3430 0.2500  4 Al 2.85-2.88



Crystalline K3Al2Sn4 at its relaxed geometry. Source: Alexandria via LeMat-Bulk, functional GGA-PBE.

Results
The calculation puts the volume at 601 Å³/cell. The total magnetization is 0.000 μB per formula unit. Its energy is -3.0920 eV/atom. The calculation puts the formation energy at -11.1 kJ/mol of atoms. As for the space-group type: No. 15.

a = 10.0793 Å, b = 10.0793 Å, c = 6.9847 Å
α = 108.97°, β = 108.97°, γ = 66.78°
Last column: nearest neighbours and their distance in Å.
Element x y z (fractional)
K 0.0442 0.9558 0.7500  2 Al 3.48, 4 Sn 3.62-3.79, 2 K 3.63
K 0.2829 0.5124 0.9064  2 Al 3.57-3.64, 6 Sn 3.64-3.85
K 0.4876 0.7171 0.5936  2 Al 3.57-3.64, 6 Sn 3.64-3.85
K 0.5124 0.2829 0.4064  2 Al 3.57-3.64, 6 Sn 3.64-3.85
K 0.7171 0.4876 0.0936  2 Al 3.57-3.64, 6 Sn 3.64-3.85
K 0.9558 0.0442 0.2500  2 Al 3.48, 4 Sn 3.62-3.79, 2 K 3.63
Al 0.0796 0.3499 0.4270  4 Sn 2.78-2.91, 1 Al 2.83
Al 0.3499 0.0796 0.9270  4 Sn 2.78-2.91, 1 Al 2.83
Al 0.6501 0.9204 0.0730  4 Sn 2.78-2.91, 1 Al 2.83
Al 0.9204 0.6501 0.5730  4 Sn 2.78-2.91, 1 Al 2.83
Sn 0.0954 0.3111 0.0212  2 Al 2.78-2.80
Sn 0.1442 0.5875 0.3639  2 Al 2.84-2.91, 2 Sn 3.12
Sn 0.3111 0.0954 0.5212  2 Al 2.78-2.80
Sn 0.4125 0.8558 0.1361  2 Al 2.84-2.91, 2 Sn 3.12
Sn 0.5875 0.1442 0.8639  2 Al 2.84-2.91, 2 Sn 3.12
Sn 0.6889 0.9046 0.4788  2 Al 2.78-2.80
Sn 0.8558 0.4125 0.6361  2 Al 2.84-2.91, 2 Sn 3.12
Sn 0.9046 0.6889 0.9788  2 Al 2.78-2.80



Crystalline KAlSn at its relaxed geometry. Source: Alexandria via LeMat-Bulk, functional GGA-PBE.

Results
The calculation puts the volume at 206 Å³/cell. The total magnetization is 0.000 μB per formula unit. Its energy is -3.0659 eV/atom. The calculation puts the formation energy at -11.4 kJ/mol of atoms. As for the space-group type: No. 194.

a = 4.6139 Å, b = 4.6139 Å, c = 11.1950 Å
α = 90.00°, β = 90.00°, γ = 120.00°
Last column: nearest neighbours and their distance in Å.
Element x y z (fractional)
K 0.0000 0.0000 0.0000  6 Sn 3.86, 6 Al 3.86
K 0.0000 0.0000 0.5000  6 Sn 3.86, 6 Al 3.86
Al 0.3333 0.6667 0.2500  3 Sn 2.66
Al 0.6667 0.3333 0.7500  3 Sn 2.66
Sn 0.3333 0.6667 0.7500  3 Al 2.66
Sn 0.6667 0.3333 0.2500  3 Al 2.66



Crystalline KAl3Sn3 at its relaxed geometry. Source: Alexandria via LeMat-Bulk, functional GGA-PBE.

Results
The calculation puts the volume at 460 Å³/cell. The total magnetization is 0.000 μB per formula unit. Its energy is -3.3925 eV/atom. The calculation puts the formation energy at 8.1 kJ/mol of atoms. As for the space-group type: No. 223.

a = 7.7209 Å, b = 7.7209 Å, c = 7.7209 Å
α = 90.00°, β = 90.00°, γ = 90.00°
Last column: nearest neighbours and their distance in Å.
Element x y z (fractional)
K 0.0000 0.0000 0.0000  12 Sn 4.32, 12 Al 4.32
K 0.5000 0.5000 0.5000  12 Sn 4.32, 12 Al 4.32
Al 0.0000 0.2500 0.5000  4 Sn 2.73
Al 0.0000 0.7500 0.5000  4 Sn 2.73
Al 0.2500 0.5000 0.0000  4 Sn 2.73
Al 0.5000 0.0000 0.2500  4 Sn 2.73
Al 0.5000 0.0000 0.7500  4 Sn 2.73
Al 0.7500 0.5000 0.0000  4 Sn 2.73
Sn 0.0000 0.5000 0.2500  4 Al 2.73
Sn 0.0000 0.5000 0.7500  4 Al 2.73
Sn 0.2500 0.0000 0.5000  4 Al 2.73
Sn 0.5000 0.2500 0.0000  4 Al 2.73
Sn 0.5000 0.7500 0.0000  4 Al 2.73
Sn 0.7500 0.0000 0.5000  4 Al 2.73



Crystalline KAlSn at its relaxed geometry. Source: Alexandria via LeMat-Bulk, functional GGA-PBE.

Results
The calculation puts the volume at 187 Å³/cell. The total magnetization is 0.000 μB per formula unit. Its energy is -2.9197 eV/atom. The calculation puts the formation energy at 2.7 kJ/mol of atoms. As for the space-group type: No. 63.

a = 7.0470 Å, b = 7.0470 Å, c = 5.4881 Å
α = 90.00°, β = 90.00°, γ = 136.62°
Last column: nearest neighbours and their distance in Å.
Element x y z (fractional)
K 0.2260 0.7740 0.7500  5 Sn 3.51-3.84, 4 K 3.84, 2 Al 3.84
K 0.7740 0.2260 0.2500  5 Sn 3.51-3.84, 4 K 3.84, 2 Al 3.84
Al 0.5000 0.5000 0.0000  2 Al 2.74, 4 Sn 3.04
Al 0.5000 0.5000 0.5000  2 Al 2.74, 4 Sn 3.04
Sn 0.0589 0.9411 0.2500  4 Al 3.04, 2 Sn 3.15
Sn 0.9411 0.0589 0.7500  4 Al 3.04, 2 Sn 3.15